First-principles (PBE-GGA) data for a geometry-optimized Sc3MoC structure, as listed in Alexandria.

For the theoretical density, the calculation gives 3.43 g cm⁻³. The calculation puts the polymorph energy (0 for the lowest one) at 1518 meV/atom. The value obtained for the electronic total energy is -6.219 eV per atom.

The space group is Pm-3m (No. 221) and the conventional cell measures 4.8995, 4.8995 and 4.8995 Å, with angles of 90.00, 90.00 and 90.00 degrees. The distinct sites, in fractional coordinates, are Sc at (0.0000, 0.0000, 0.5000), Mo at (0.0000, 0.0000, 0.0000) and C at (0.5000, 0.5000, 0.5000).